# La3Pr2TmSe6 | the Alexandria database | PBE | relaxed
data_La3Pr2TmSe6
_cell_length_a 7.355
_cell_length_b 12.769
_cell_length_c 7.349
_cell_angle_alpha 90.00
_cell_angle_beta 109.56
_cell_angle_gamma 90.00
_symmetry_space_group_name_H-M 'C 1 2/m 1'
_symmetry_Int_Tables_number 12
_symmetry_space_group_name_Hall '-C 2y'
loop_
_atom_site_label
_atom_site_fract_x
_atom_site_fract_y
_atom_site_fract_z
La1 0.000 0.000 0.000
La2 0.000 0.327 0.000
Pr1 0.000 0.167 0.500
Tm1 0.000 0.500 0.500
Se1 0.238 0.500 0.256
Se2 0.239 0.340 0.738
# V (Å³ per atom): 27.10
# Total DFT energy (no corrections) (eV/atom): -6.0400
# Total moment (μB/cell): 0.00

# Tc3RuI | the Alexandria database | PBE | relaxed
data_Tc3RuI
_cell_length_a 4.749
_cell_length_b 4.749
_cell_length_c 4.749
_cell_angle_alpha 90.00
_cell_angle_beta 90.00
_cell_angle_gamma 90.00
_symmetry_space_group_name_H-M 'P m -3 m'
_symmetry_Int_Tables_number 221
_symmetry_space_group_name_Hall '-P 4 2 3'
loop_
_atom_site_label
_atom_site_fract_x
_atom_site_fract_y
_atom_site_fract_z
Tc1 0.000 0.000 0.500
Ru1 0.000 0.000 0.000
I1 0.500 0.500 0.500
# V (Å³ per atom): 21.42
# Total DFT energy (no corrections) (eV/atom): -6.5558
# Total moment (μB/cell): 3.17

# LaSF2 | the Alexandria database | PBE | relaxed
data_LaSF2
_cell_length_a 4.0737
_cell_length_b 4.0737
_cell_length_c 16.0752
_cell_angle_alpha 90.00
_cell_angle_beta 90.00
_cell_angle_gamma 120.00
_symmetry_space_group_name_H-M 'R -3 m'
_symmetry_Int_Tables_number 166
_symmetry_space_group_name_Hall '-R 3 2"'
loop_
_atom_site_label
_atom_site_fract_x
_atom_site_fract_y
_atom_site_fract_z
La1 0.0000 0.0000 0.0000
S1 0.0000 0.0000 0.5000
F1 0.0000 0.0000 0.2975
# V (Å³ per atom): 19.25
# Total DFT energy (no corrections) (eV/atom): -5.9441
# Total moment (μB/cell): 3.00

# BeTlRh2 | the Alexandria database | PBE | relaxed
data_BeTlRh2
_cell_length_a 5.616
_cell_length_b 8.655
_cell_length_c 2.898
_cell_angle_alpha 90.00
_cell_angle_beta 117.65
_cell_angle_gamma 90.00
_symmetry_space_group_name_H-M 'C 1 2/m 1'
_symmetry_Int_Tables_number 12
_symmetry_space_group_name_Hall '-C 2y'
loop_
_atom_site_label
_atom_site_fract_x
_atom_site_fract_y
_atom_site_fract_z
Be1 0.000 0.000 0.000
Tl1 0.000 0.500 0.000
Rh1 0.250 0.250 0.500
# V (Å³ per atom): 15.60
# Formation energy from the elements (kJ/mol of formula units): 108
# Total moment (μB/cell): 0.00

# CeHgRh | the Alexandria database | PBE | relaxed
data_CeHgRh
_cell_length_a 11.268
_cell_length_b 4.831
_cell_length_c 5.038
_cell_angle_alpha 90.00
_cell_angle_beta 102.24
_cell_angle_gamma 90.00
_symmetry_space_group_name_H-M 'C 1 2/m 1'
_symmetry_Int_Tables_number 12
_symmetry_space_group_name_Hall '-C 2y'
loop_
_atom_site_label
_atom_site_fract_x
_atom_site_fract_y
_atom_site_fract_z
Ce1 0.132 0.000 0.312
Hg1 0.074 0.500 0.782
Rh1 0.205 0.000 0.816
# V (Å³ per atom): 22.33
# Formation energy from the elements (kJ/mol of formula units): -163
# Total moment (μB/cell): 0.94

# KZnCl2 | the Alexandria database | PBE | relaxed
data_KZnCl2
_cell_length_a 6.259
_cell_length_b 6.259
_cell_length_c 14.290
_cell_angle_alpha 90.00
_cell_angle_beta 90.00
_cell_angle_gamma 90.00
_symmetry_space_group_name_H-M 'I -4 2 d'
_symmetry_Int_Tables_number 122
_symmetry_space_group_name_Hall 'I -4 2bw'
loop_
_atom_site_label
_atom_site_fract_x
_atom_site_fract_y
_atom_site_fract_z
K1 0.000 0.000 0.000
Zn1 0.000 0.000 0.500
Cl1 0.175 0.250 0.625
# V (Å³ per atom): 34.98
# Total DFT energy (no corrections) (eV/atom): -2.5774
# Total moment (μB/cell): 0.00

# YAgSnBr6 | the Alexandria database | PBE | relaxed
data_YAgSnBr6
_cell_length_a 7.2080
_cell_length_b 7.2080
_cell_length_c 13.2801
_cell_angle_alpha 90.00
_cell_angle_beta 90.00
_cell_angle_gamma 120.00
_symmetry_space_group_name_H-M 'P -3 1 c'
_symmetry_Int_Tables_number 163
_symmetry_space_group_name_Hall '-P 3 2c'
loop_
_atom_site_label
_atom_site_fract_x
_atom_site_fract_y
_atom_site_fract_z
Y1 0.3333 0.6667 0.2500
Ag1 0.3333 0.6667 0.7500
Sn1 0.0000 0.0000 0.0000
Br1 0.0079 0.3507 0.1277
# V (Å³ per atom): 33.20
# Total DFT energy (no corrections) (eV/atom): -3.7303
# Total moment (μB/cell): 0.00

# Tl8Se5I | the Alexandria database | PBE | relaxed
data_Tl8Se5I
_cell_length_a 13.116
_cell_length_b 13.116
_cell_length_c 13.116
_cell_angle_alpha 90.00
_cell_angle_beta 90.00
_cell_angle_gamma 90.00
_symmetry_space_group_name_H-M 'F -4 3 m'
_symmetry_Int_Tables_number 216
_symmetry_space_group_name_Hall 'F -4 2 3'
loop_
_atom_site_label
_atom_site_fract_x
_atom_site_fract_y
_atom_site_fract_z
Tl1 0.104 0.104 0.104
Tl2 0.135 0.135 0.635
Se1 0.000 0.000 0.500
Se2 0.128 0.128 0.872
I1 0.250 0.250 0.250
# V (Å³ per atom): 40.29
# Total DFT energy (no corrections) (eV/atom): -2.9911
# Total moment (μB/cell): 0.00

Which of these has the highest V?
Tl8Se5I

Which formula does entry 4 have?
BeTlRh2

Which value of total moment does entry 7 give?
0.00 μB/cell